Computed, not measured: a relaxed SnSbMo crystal at the PBE-GGA level of DFT.

Lattice parameters (Å, degrees): 6.635 6.635 6.635 90.00 90.00 90.00
Space group F-43m (No. 216)
Symmetry-distinct sites (fractional):
Sn 0.000 0.000 0.000 [4 per cell]
Sb 0.000 0.000 0.500 [4 per cell]
Mo 0.250 0.250 0.750 [4 per cell]

Computed properties:
E ... -70.4 eV for the cell shown

=====

Computed, not measured: a relaxed NpNbB crystal at the PBE-GGA level of DFT.

Lattice parameters (Å, degrees): 5.952 5.952 5.952 90.00 90.00 90.00
Space group F-43m (No. 216)
Symmetry-distinct sites (fractional):
Np 0.000 0.000 0.000 [4 per cell]
Nb 0.250 0.250 0.250 [4 per cell]
B 0.250 0.250 0.750 [4 per cell]

Computed properties:
E ... -101.5 eV for the cell shown

=====

Computed, not measured: a relaxed LiYNiGe crystal at the PBE-GGA level of DFT.

Lattice parameters (Å, degrees): 6.327 6.327 6.327 90.00 90.00 90.00
Space group F-43m (No. 216)
Symmetry-distinct sites (fractional):
Li 0.000 0.000 0.000 [4 per cell]
Y 0.250 0.250 0.750 [4 per cell]
Ni 0.000 0.000 0.500 [4 per cell]
Ge 0.250 0.250 0.250 [4 per cell]

Computed properties:
E ... -83.1 eV for the cell shown

=====

Computed, not measured: a relaxed Rb2NiPdCl6 crystal at the PBE-GGA level of DFT.

Lattice parameters (Å, degrees): 9.765 9.765 9.765 90.00 90.00 90.00
Space group Fm-3m (No. 225)
Symmetry-distinct sites (fractional):
Rb 0.250 0.250 0.250 [8 per cell]
Ni 0.000 0.000 0.000 [4 per cell]
Pd 0.000 0.000 0.500 [4 per cell]
Cl 0.000 0.000 0.243 [24 per cell]

Computed properties:
E ... -138.3 eV for the cell shown

=====

no.,theoretical density (g/cm³),M_tot (μB/atom)
1,7.65,0.548
2,10.73,0.566
3,5.96,0.000
4,3.91,0.011